A | NaAs | PBE | optimized geometry

a = 6.4144 Å, b = 8.9080 Å, c = 3.0311 Å
α = 90.00°, β = 90.00°, γ = 90.00°
Last column: nearest neighbours and their distance in Å.
Element x y z (fractional)
Na (0.0000, 0.7791, 0.0000)  4 Na 3.03-3.25, 8 As 3.16-3.17
Na (0.0000, 0.2209, 0.0000)  4 Na 3.03-3.25, 8 As 3.16-3.17
Na (0.5000, 0.2791, 0.0000)  4 Na 3.03-3.25, 8 As 3.16-3.17
Na (0.5000, 0.7209, 0.0000)  4 Na 3.03-3.25, 8 As 3.16-3.17
As (0.3045, 0.0000, 0.5000)  1 As 2.51
As (0.6955, 0.0000, 0.5000)  1 As 2.51
As (0.8045, 0.5000, 0.5000)  1 As 2.51
As (0.1955, 0.5000, 0.5000)  1 As 2.51

Properties
Its density of states at the Fermi level is 2.5 states/eV per cell. The magnetic moment is 0.00 μB per atom. The calculation puts the mass density at 3.75 g/cm3. The calculation puts the volume at 21.6 Å³/atom.


B | NaAs | PBE | optimized geometry

a = 5.9514 Å, b = 6.2882 Å, c = 11.6491 Å
α = 63.19°, β = 90.00°, γ = 90.00°
Last column: nearest neighbours and their distance in Å.
Element x y z (fractional)
Na (0.3904, 0.7812, 0.3300)  6 As 3.03-3.17, 1 Na 3.35
Na (0.8904, 0.2188, 0.1700)  6 As 3.03-3.17, 1 Na 3.35
Na (0.6096, 0.2188, 0.6700)  6 As 3.03-3.17, 1 Na 3.35
Na (0.1096, 0.7812, 0.8300)  6 As 3.03-3.17, 1 Na 3.35
Na (0.6634, 0.7653, 0.0324)  6 As 3.08-3.25, 2 Na 3.33-3.35
Na (0.1634, 0.2347, 0.4676)  6 As 3.08-3.25, 2 Na 3.33-3.35
Na (0.3366, 0.2347, 0.9676)  6 As 3.08-3.25, 2 Na 3.33-3.35
Na (0.8366, 0.7653, 0.5324)  6 As 3.08-3.25, 2 Na 3.33-3.35
As (0.8939, 0.6802, 0.2894)  2 As 2.49-2.53
As (0.3939, 0.3198, 0.2106)  2 As 2.49-2.53
As (0.1061, 0.3198, 0.7106)  2 As 2.49-2.53
As (0.6061, 0.6802, 0.7894)  2 As 2.49-2.53
As (0.1610, 0.6876, 0.1190)  2 As 2.49-2.53
As (0.6610, 0.3124, 0.3810)  2 As 2.49-2.53
As (0.8390, 0.3124, 0.8810)  2 As 2.49-2.53
As (0.3390, 0.6876, 0.6190)  2 As 2.49-2.53

Properties
The magnetic moment is 0.00 μB per atom. The calculation puts the mass density at 3.34 g/cm3. The calculation puts the volume at 24.3 Å³/atom.


Here are the energies relative to the best structure, in eV/atom: A 0.074; B 0.000.


A | NaAs | PBE | optimized geometry

a = 4.8243 Å, b = 3.7325 Å, c = 5.9609 Å
α = 90.00°, β = 113.82°, γ = 90.00°
Last column: nearest neighbours and their distance in Å.
Element x y z (fractional)
Na (0.8646, 0.2500, 0.7265)  7 As 3.11-3.37
Na (0.1354, 0.7500, 0.2735)  7 As 3.11-3.37
As (0.5772, 0.2500, 0.1565)  2 As 2.53
As (0.4228, 0.7500, 0.8435)  2 As 2.53

Properties
Its density of states at the Fermi level is 1.2 states/eV per cell. The magnetic moment is 0.00 μB per atom. The calculation puts the mass density at 3.31 g/cm3. The calculation puts the volume at 24.5 Å³/atom.


B | NaAs | PBE | optimized geometry

a = 3.7427 Å, b = 9.2468 Å, c = 5.7489 Å
α = 90.00°, β = 90.00°, γ = 90.00°
Last column: nearest neighbours and their distance in Å.
Element x y z (fractional)
Na (0.0000, 0.7115, 0.5600)  6 As 2.99-3.28
Na (0.0000, 0.2885, 0.5600)  6 As 2.99-3.28
Na (0.5000, 0.2115, 0.0600)  6 As 2.99-3.28
Na (0.5000, 0.7885, 0.0600)  6 As 2.99-3.28
As (0.0000, 0.5000, 0.1189)  2 As 2.53
As (0.5000, 0.0000, 0.6189)  2 As 2.53
As (0.0000, 0.0000, 0.3233)  2 As 2.53
As (0.5000, 0.5000, 0.8233)  2 As 2.53

Properties
Its density of states at the Fermi level is 1.8 states/eV per cell. The magnetic moment is 0.00 μB per atom. The calculation puts the mass density at 3.27 g/cm3. The calculation puts the volume at 24.9 Å³/atom.


Here are the energies relative to the best structure, in eV/atom: A 0.000; B 0.029.


A | NaAs | PBE | optimized geometry

a = 12.2910 Å, b = 12.2910 Å, c = 3.7053 Å
α = 90.00°, β = 90.00°, γ = 90.00°
Last column: nearest neighbours and their distance in Å.
Element x y z (fractional)
Na (0.4587, 0.7316, 0.0000)  4 As 2.91-3.02
Na (0.5413, 0.2684, 0.0000)  4 As 2.91-3.02
Na (0.2684, 0.4587, 0.0000)  4 As 2.91-3.02
Na (0.7316, 0.5413, 0.0000)  4 As 2.91-3.02
Na (0.9587, 0.2316, 0.5000)  4 As 2.91-3.02
Na (0.0413, 0.7684, 0.5000)  4 As 2.91-3.02
Na (0.7684, 0.9587, 0.5000)  4 As 2.91-3.02
Na (0.2316, 0.0413, 0.5000)  4 As 2.91-3.02
As (0.3102, 0.2166, 0.0000)  2 As 2.51
As (0.6898, 0.7834, 0.0000)  2 As 2.51
As (0.7834, 0.3102, 0.0000)  2 As 2.51
As (0.2166, 0.6898, 0.0000)  2 As 2.51
As (0.8102, 0.7166, 0.5000)  2 As 2.51
As (0.1898, 0.2834, 0.5000)  2 As 2.51
As (0.2834, 0.8102, 0.5000)  2 As 2.51
As (0.7166, 0.1898, 0.5000)  2 As 2.51

Properties
Its density of states at the Fermi level is 2.5 states/eV per cell. The magnetic moment is 0.00 μB per atom. The calculation puts the mass density at 2.32 g/cm3. The calculation puts the volume at 35.0 Å³/atom.


B | NaAs | PBE | optimized geometry

a = 9.0074 Å, b = 9.0074 Å, c = 9.0074 Å
α = 90.00°, β = 90.00°, γ = 90.00°
Last column: nearest neighbours and their distance in Å.
Element x y z (fractional)
Na (0.2071, 0.2071, 0.2071)  4 As 2.95-3.09
Na (0.2071, 0.7929, 0.7929)  4 As 2.95-3.09
Na (0.7929, 0.2071, 0.7929)  4 As 2.95-3.09
Na (0.7929, 0.7929, 0.2071)  4 As 2.95-3.09
Na (0.7071, 0.7071, 0.7071)  4 As 2.95-3.09
Na (0.7071, 0.2929, 0.2929)  4 As 2.95-3.09
Na (0.2929, 0.7071, 0.2929)  4 As 2.95-3.09
Na (0.2929, 0.2929, 0.7071)  4 As 2.95-3.09
As (0.3960, 0.3960, 0.3960)  3 As 2.65, 1 Na 2.95
As (0.3960, 0.6040, 0.6040)  3 As 2.65, 1 Na 2.95
As (0.6040, 0.3960, 0.6040)  3 As 2.65, 1 Na 2.95
As (0.6040, 0.6040, 0.3960)  3 As 2.65, 1 Na 2.95
As (0.8960, 0.8960, 0.8960)  3 As 2.65, 1 Na 2.95
As (0.8960, 0.1040, 0.1040)  3 As 2.65, 1 Na 2.95
As (0.1040, 0.8960, 0.1040)  3 As 2.65, 1 Na 2.95
As (0.1040, 0.1040, 0.8960)  3 As 2.65, 1 Na 2.95

Properties
Its density of states at the Fermi level is 19.1 states/eV per cell. The magnetic moment is 0.21 μB per atom. The calculation puts the mass density at 1.78 g/cm3. The calculation puts the volume at 45.7 Å³/atom.


Here are the energies relative to the best structure, in eV/atom: A 0.000; B 0.374.


A | NaAs | PBE | optimized geometry

a = 6.8226 Å, b = 6.8226 Å, c = 6.8226 Å
α = 90.00°, β = 90.00°, γ = 90.00°
Last column: nearest neighbours and their distance in Å.
Element x y z (fractional)
Na (0.2500, 0.2500, 0.2500)  4 As 2.95
Na (0.2500, 0.7500, 0.7500)  4 As 2.95
Na (0.7500, 0.2500, 0.7500)  4 As 2.95
Na (0.7500, 0.7500, 0.2500)  4 As 2.95
As (0.0000, 0.0000, 0.0000)  4 Na 2.95
As (0.0000, 0.5000, 0.5000)  4 Na 2.95
As (0.5000, 0.0000, 0.5000)  4 Na 2.95
As (0.5000, 0.5000, 0.0000)  4 Na 2.95

Properties
Its density of states at the Fermi level is 2.3 states/eV per cell. The magnetic moment is 1.00 μB per atom. The calculation puts the mass density at 2.05 g/cm3. The calculation puts the volume at 39.7 Å³/atom.


B | NaAs | PBE | optimized geometry

a = 11.0890 Å, b = 11.0890 Å, c = 3.6931 Å
α = 90.00°, β = 90.00°, γ = 120.00°
Last column: nearest neighbours and their distance in Å.
Element x y z (fractional)
Na (0.8202, 0.2290, 0.2500)  5 As 3.06-3.08
Na (0.5912, 0.8202, 0.7500)  5 As 3.06-3.08
Na (0.7710, 0.5912, 0.2500)  5 As 3.06-3.08
Na (0.1798, 0.7710, 0.7500)  5 As 3.06-3.08
Na (0.4088, 0.1798, 0.2500)  5 As 3.06-3.08
Na (0.2290, 0.4088, 0.7500)  5 As 3.06-3.08
As (0.0846, 0.5184, 0.2500)  2 As 2.52
As (0.5663, 0.0846, 0.7500)  2 As 2.52
As (0.4816, 0.5663, 0.2500)  2 As 2.52
As (0.9154, 0.4816, 0.7500)  2 As 2.52
As (0.4337, 0.9154, 0.2500)  2 As 2.52
As (0.5184, 0.4337, 0.7500)  2 As 2.52

Properties
Its density of states at the Fermi level is 3.5 states/eV per cell. The magnetic moment is 0.00 μB per atom. The calculation puts the mass density at 2.48 g/cm3. The calculation puts the volume at 32.8 Å³/atom.


Here are the energies relative to the best structure, in eV/atom: A 0.819; B 0.000.